Compound: Ta3CoNi
Source: Alexandria via LeMat-Bulk
Functional: PBE
Structure: optimized geometry

a b c (Å): 4.5265 4.5265 4.5265
angles (deg): 90.00 90.00 90.00
With the nearest neighbours (Å) after each atom.
Fractional positions:
Ta (0.0000, 0.0000, 0.5000)  2 Co 2.26
Ta (0.0000, 0.5000, 0.0000)  2 Co 2.26
Ta (0.5000, 0.0000, 0.0000)  2 Co 2.26
Co (0.0000, 0.0000, 0.0000)  6 Ta 2.26
Ni (0.5000, 0.5000, 0.5000)  12 Ta 3.20

Properties
polymorph energy (0 for the lowest one)	0.0000	eV/atom
space group	Pm-3m (221)
final energy	-43.95	eV per cell
energy of formation from the pure elements	898	meV/atom